## Sc3Co2Si3 (PBE)

Data for crystalline Sc3Co2Si3 at its relaxed geometry.

Values from the calculation:
Total DFT energy (no corrections) = -7.020 eV per atom
Space-group type = No. 63
ρ = 4.51 Mg/m³

a = 3.9255 Å, b = 5.3209 Å, c = 12.7874 Å
α = 90.00°, β = 90.00°, γ = 68.35°
Closest atoms and distances in Å follow each position.
Fractional positions:
Si1 0.1137 0.7726 0.0408  3 Co 2.27-2.32, 1 Si 2.48
Co1 0.7151 0.5699 0.4164  4 Si 2.27-2.44
Co2 0.7151 0.5699 0.0836  4 Si 2.27-2.44
Co3 0.2849 0.4301 0.5836  4 Si 2.27-2.44
Si2 0.8863 0.2274 0.5408  3 Co 2.27-2.32, 1 Si 2.48
Sc1 0.1423 0.7155 0.2500  4 Si 2.69-2.75, 4 Co 2.98
Sc2 0.5795 0.8410 0.6133  6 Si 2.76-2.89, 4 Co 2.85-2.94
Si3 0.8366 0.3269 0.2500  2 Co 2.44
Sc3 0.4205 0.1590 0.1133  6 Si 2.76-2.89, 4 Co 2.85-2.94
Sc4 0.8577 0.2845 0.7500  4 Si 2.69-2.75, 4 Co 2.98
Si4 0.1634 0.6731 0.7500  2 Co 2.44
Co4 0.2849 0.4301 0.9164  4 Si 2.27-2.44
Si5 0.8863 0.2274 0.9592  3 Co 2.27-2.32, 1 Si 2.48
Si6 0.1137 0.7726 0.4592  3 Co 2.27-2.32, 1 Si 2.48
Sc5 0.4205 0.1590 0.3867  6 Si 2.76-2.89, 4 Co 2.85-2.94
Sc6 0.5795 0.8410 0.8867  6 Si 2.76-2.89, 4 Co 2.85-2.94